Density functional theory data (GGA+U) for a geometry-optimized NaFe2BO structure.

Structure (extended XYZ):
```
5
Lattice="4.7521 0.0000 0.0000 0.0000 3.8262 0.0000 0.0000 0.0000 4.7521" Properties=species:S:1:pos:R:3 pbc="T T T"
O 0.0000 1.9131 0.0000
Fe 2.3761 0.0000 0.0000
Fe 0.0000 0.0000 2.3761
Na 0.0000 0.0000 0.0000
B 2.3761 1.9131 2.3761
```

## Properties
DFT total energy, eV for the cell shown: -15.195